Record 1
Below is a relaxed Sc2Cu7 crystal, with properties calculated at the PBE level.

abc: 4.9716 4.9716 36.4955
angles: 90.00 90.00 120.00
Last column: nearest neighbours and their distance in Å.
Space group R-3m (No. 166, hexagonal axes)
One atom of each set of equivalent atoms:
Sc1 0.0000 0.0000 0.0510 (multiplicity 6)  12 Cu 2.88-3.10
Sc2 0.0000 0.0000 0.1485 (multiplicity 6)  12 Cu 2.83-3.03, 3 Sc 3.16
Cu1 0.0000 0.0000 0.2776 (multiplicity 6)  6 Cu 2.48-2.49
Cu2 0.0000 0.0000 0.3890 (multiplicity 6)  6 Cu 2.49-2.50
Cu3 0.0000 0.0000 0.5000 (multiplicity 3)  6 Cu 2.48
Cu4 0.0000 0.5000 0.0000 (multiplicity 9)  8 Cu 2.49
Cu5 0.0034 0.5017 0.8886 (multiplicity 18)  7 Cu 2.46-2.51

Values from the calculation:
Uncorrected energy   -257.0 eV/cell
Formation energy   -166 meV per atom

---

Record 2
Below is a relaxed Sc4Cu crystal, with properties calculated at the PBE level.

abc: 11.6785 11.9451 6.5255
angles: 90.00 90.00 90.00
Last column: nearest neighbours and their distance in Å.
Space group Fdd2 (No. 43)
One atom of each set of equivalent atoms:
Sc1 0.0759 0.3730 0.0000 (multiplicity 16)  1 Cu 2.61
Sc2 0.1178 0.3238 0.4680 (multiplicity 16)  1 Cu 2.61
Cu1 0.0000 0.0000 0.8608 (multiplicity 8)  4 Sc 2.61

Values from the calculation:
E above lowest polymorph   0.000 eV per formula unit
Uncorrected energy   -233.8 eV/cell
Formation energy   39 meV per atom

---

Record 3
Below is a relaxed Sc2Cu3 crystal, with properties calculated at the PBE level.

abc: 8.9368 14.3070 5.1720
angles: 90.00 90.00 90.00
Last column: nearest neighbours and their distance in Å.
Space group Fdd2 (No. 43)
One atom of each set of equivalent atoms:
Sc1 0.0790 0.1992 0.0000 (multiplicity 16)  7 Cu 2.72-2.93
Cu1 0.0000 0.0000 0.1850 (multiplicity 8)  4 Cu 2.44-2.50
Cu2 0.0718 0.1229 0.5044 (multiplicity 16)  4 Cu 2.44-2.58, 1 Sc 2.72

Values from the calculation:
Uncorrected energy   -207.8 eV/cell
Formation energy   -206 meV per atom

---

Record 4
Below is a relaxed ScCu12 crystal, with properties calculated at the PBE level.

abc: 9.8549 9.8549 9.8549
angles: 90.00 90.00 90.00
Last column: nearest neighbours and their distance in Å.
Space group Fm-3m (No. 225)
One atom of each set of equivalent atoms:
Sc1 0.0000 0.0000 0.0000 (multiplicity 4)  24 Cu 3.66
Cu1 0.0000 0.1693 0.3307 (multiplicity 48)  5 Cu 2.25-2.36

Values from the calculation:
E above lowest polymorph   10.146 eV per formula unit
Uncorrected energy   -183.6 eV/cell
Formation energy   736 meV per atom

---

Record 5
Below is a relaxed ScCuSe4 crystal, with properties calculated at the PBE level.

abc: 7.9578 7.9578 7.9578
angles: 90.00 90.00 90.00
Last column: nearest neighbours and their distance in Å.
Space group F-43m (No. 216)
One atom of each set of equivalent atoms:
Sc1 0.0000 0.0000 0.0000 (multiplicity 4)  12 Se 3.30, 4 Cu 3.45
Cu1 0.2500 0.2500 0.2500 (multiplicity 4)  12 Se 3.30, 4 Sc 3.45
Se1 0.1246 0.1246 0.6246 (multiplicity 16)  6 Se 2.80-2.82

Values from the calculation:
Uncorrected energy   -89.8 eV/cell
Uncorrected formation energy   0.317 eV/atom

---

Record 6
Below is a relaxed ScCuSe crystal, with properties calculated at the PBE level.

abc: 3.8330 3.8330 4.4601
angles: 90.00 90.00 120.00
Last column: nearest neighbours and their distance in Å.
Space group P3m1 (No. 156)
One atom of each set of equivalent atoms:
Sc1 0.0000 0.0000 0.0000 (multiplicity 1)  3 Cu 2.74, 3 Se 2.77
Cu1 0.6667 0.3333 0.6364 (multiplicity 1)  3 Se 2.50, 3 Sc 2.74
Se1 0.3333 0.6667 0.3734 (multiplicity 1)  3 Cu 2.50, 3 Sc 2.77

Values from the calculation:
E above lowest polymorph   0.686 eV per formula unit
Uncorrected energy   -15.9 eV/cell
Uncorrected formation energy   -0.655 eV/atom